The following is a DFT calculation (GGA-PBE) of Tl2CoPdCl6 after structural relaxation.

```
Tl2CoPdCl6
1.0
0.000 4.900 4.900
4.900 0.000 4.900
4.900 4.900 0.000
Tl Co Pd Cl
2 1 1 6
Cartesian
2.450 2.450 2.450
7.351 7.351 7.351
0.000 0.000 0.000
4.900 4.900 4.900
4.900 4.900 2.381
4.900 2.381 4.900
7.420 4.900 4.900
2.381 4.900 4.900
4.900 7.420 4.900
4.900 4.900 7.420
```

Results
Volume   235 Å³ per cell
Space-group type   Fm-3m (225)
Magnetic moment   1.29 μB/f.u.
Electronic total energy   -34.69 eV/cell